DFT (PBE-GGA) results for GdTcPb after structural relaxation.

Summary:
E_tot   -5.267 eV per atom
Magnetization   0.7 μB/cell
ΔE to the lowest computed polymorph   427 meV/atom

Lattice parameters (Å, degrees): 4.8542 4.8542 4.8542 60.00 60.00 60.00
Closest atoms and distances in Å follow each position.
Positions (direct):
1 Gd 0.0000 0.0000 0.0000  4 Pb 2.97, 4 Tc 2.97
2 Pb 0.2500 0.2500 0.2500  4 Gd 2.97
3 Tc 0.7500 0.7500 0.7500  4 Gd 2.97